DFT (PBE+U) results for crystalline MgTiMoP3O12 at its relaxed geometry.

The value obtained for the final energy is -811.1 eV per cell.

The structure belongs to space group R3c (No. 161, hexagonal axes); the cell edges are 8.7504, 8.7504 and 21.0560 Å and the angles 90.00°, 90.00° and 120.00°. The asymmetric unit holds Mg at (0.0000, 0.0000, 0.0000), Ti at (0.0000, 0.0000, 0.3544), Mo at (0.0000, 0.0000, 0.1422), P at (0.0410, 0.3650, 0.4171), O at (0.0196, 0.1785, 0.4271), O at (0.1427, 0.4507, 0.3576), O at (0.1464, 0.4778, 0.4767) and O at (0.1558, 0.4781, 0.7417).